[1]
A geometry-optimized ZrCuAgS3 structure. Source: OQMD, functional PBE-GGA.

The space group is Pnma (No. 62) and the conventional cell measures 9.9086, 3.6631 and 12.4574 Å, with angles of 90.00, 90.00 and 90.00 degrees. The asymmetric unit holds Zr at (0.0069, 0.2500, 0.2380), Cu at (0.2303, 0.2500, 0.7124), Ag at (0.2142, 0.7500, 0.5137), S at (0.0299, 0.2500, 0.6178), S at (0.0817, 0.7500, 0.1063) and S at (0.2339, 0.7500, 0.8333).

Its energy above the most stable polymorph in this dataset is 0.0000 eV/atom.



[2]
A geometry-optimized ZrCuAgS3 structure. Source: OQMD, functional PBE-GGA.

The space group is Cmcm (No. 63) and the conventional cell measures 3.6580, 12.4833 and 9.8455 Å, with angles of 90.00, 90.00 and 90.00 degrees. The asymmetric unit holds Zr at (0.0000, 0.0000, 0.0000), Cu at (0.0000, 0.4639, 0.2500), Ag at (0.0000, 0.2371, 0.7500), S at (0.0000, 0.0844, 0.2500) and S at (0.0000, 0.3622, 0.0576).

Its energy above the most stable polymorph in this dataset is 0.0035 eV/atom.



[3]
A geometry-optimized ScCuAgSb structure. Source: OQMD, functional PBE-GGA.

The space group is F-43m (No. 216) and the conventional cell measures 6.7381, 6.7381 and 6.7381 Å, with angles of 90.00, 90.00 and 90.00 degrees. The asymmetric unit holds Sc at (0.0000, 0.0000, 0.0000), Cu at (0.2500, 0.2500, 0.7500), Ag at (0.2500, 0.2500, 0.2500) and Sb at (0.0000, 0.0000, 0.5000).

Its energy above the most stable polymorph in this dataset is 0.0391 eV/atom.



[4]
A geometry-optimized ScCuAgSb structure. Source: OQMD, functional PBE-GGA.

The space group is F-43m (No. 216) and the conventional cell measures 6.7263, 6.7263 and 6.7263 Å, with angles of 90.00, 90.00 and 90.00 degrees. The asymmetric unit holds Sc at (0.0000, 0.0000, 0.0000), Cu at (0.0000, 0.0000, 0.5000), Ag at (0.2500, 0.2500, 0.7500) and Sb at (0.2500, 0.2500, 0.2500).

Its energy above the most stable polymorph in this dataset is 0.0000 eV/atom.



[5]
A geometry-optimized SrCu2AgSb2 structure. Source: OQMD, functional PBE-GGA.

The space group is P3m1 (No. 156) and the conventional cell measures 4.4452, 4.4452 and 7.8768 Å, with angles of 90.00, 90.00 and 120.00 degrees. The asymmetric unit holds Sr at (0.0000, 0.0000, 0.0000), Cu at (0.3333, 0.6667, 0.3697), Cu at (0.6667, 0.3333, 0.6352), Ag at (0.0000, 0.0000, 0.4987), Sb at (0.3333, 0.6667, 0.7295) and Sb at (0.6667, 0.3333, 0.2710).



[6]
A geometry-optimized Sr2CuAgSb2 structure. Source: OQMD, functional PBE-GGA.

The space group is P3m1 (No. 156) and the conventional cell measures 4.7060, 4.7060 and 8.7318 Å, with angles of 90.00, 90.00 and 120.00 degrees. The asymmetric unit holds Sr at (0.0000, 0.0000, 0.0000), Sr at (0.0000, 0.0000, 0.4952), Cu at (0.6667, 0.3333, 0.2574), Ag at (0.3333, 0.6667, 0.7593), Sb at (0.3333, 0.6667, 0.2431) and Sb at (0.6667, 0.3333, 0.7398).



[7]
A geometry-optimized TaCuAgSb structure. Source: OQMD, functional PBE-GGA.

The space group is F-43m (No. 216) and the conventional cell measures 6.6506, 6.6506 and 6.6506 Å, with angles of 90.00, 90.00 and 90.00 degrees. The asymmetric unit holds Ta at (0.0000, 0.0000, 0.0000), Cu at (0.2500, 0.2500, 0.7500), Ag at (0.2500, 0.2500, 0.2500) and Sb at (0.0000, 0.0000, 0.5000).

Its energy above the most stable polymorph in this dataset is 0.2374 eV/atom.



[8]
A geometry-optimized TaCuAgSb structure. Source: OQMD, functional PBE-GGA.

The space group is F-43m (No. 216) and the conventional cell measures 6.6075, 6.6075 and 6.6075 Å, with angles of 90.00, 90.00 and 90.00 degrees. The asymmetric unit holds Ta at (0.0000, 0.0000, 0.0000), Cu at (0.0000, 0.0000, 0.5000), Ag at (0.2500, 0.2500, 0.7500) and Sb at (0.2500, 0.2500, 0.2500).

Its energy above the most stable polymorph in this dataset is 0.0000 eV/atom.



[9]
A geometry-optimized CuTcAgSb structure. Source: OQMD, functional PBE-GGA.

The space group is F-43m (No. 216) and the conventional cell measures 6.4127, 6.4127 and 6.4127 Å, with angles of 90.00, 90.00 and 90.00 degrees. The asymmetric unit holds Cu at (0.0000, 0.0000, 0.0000), Tc at (0.0000, 0.0000, 0.5000), Ag at (0.2500, 0.2500, 0.2500) and Sb at (0.2500, 0.2500, 0.7500).

Its energy above the most stable polymorph in this dataset is 0.0000 eV/atom.



[10]
A geometry-optimized YCuAgSb structure. Source: OQMD, functional PBE-GGA.

The space group is F-43m (No. 216) and the conventional cell measures 6.9803, 6.9803 and 6.9803 Å, with angles of 90.00, 90.00 and 90.00 degrees. The asymmetric unit holds Y at (0.0000, 0.0000, 0.0000), Cu at (0.0000, 0.0000, 0.5000), Ag at (0.2500, 0.2500, 0.7500) and Sb at (0.2500, 0.2500, 0.2500).

Its energy above the most stable polymorph in this dataset is 0.0322 eV/atom.



[11]
A geometry-optimized YCuAgSb structure. Source: OQMD, functional PBE-GGA.

The space group is F-43m (No. 216) and the conventional cell measures 6.9290, 6.9290 and 6.9290 Å, with angles of 90.00, 90.00 and 90.00 degrees. The asymmetric unit holds Y at (0.0000, 0.0000, 0.0000), Cu at (0.2500, 0.2500, 0.7500), Ag at (0.2500, 0.2500, 0.2500) and Sb at (0.0000, 0.0000, 0.5000).

Its energy above the most stable polymorph in this dataset is 0.0000 eV/atom.



[12]
A geometry-optimized ZrCuAgSb structure. Source: OQMD, functional PBE-GGA.

The space group is F-43m (No. 216) and the conventional cell measures 6.7608, 6.7608 and 6.7608 Å, with angles of 90.00, 90.00 and 90.00 degrees. The asymmetric unit holds Zr at (0.0000, 0.0000, 0.0000), Cu at (0.2500, 0.2500, 0.7500), Ag at (0.2500, 0.2500, 0.2500) and Sb at (0.0000, 0.0000, 0.5000).

Its energy above the most stable polymorph in this dataset is 0.0888 eV/atom.



Taking the records one at a time from the top gives calculated total energy values of -5.36; -5.36; -4.40; -4.44; -3.67; -3.74; -4.96; -5.20; -4.92; -4.50; -4.54; -4.70 eV/atom.